Nd8Bi2Ir3 after structural relaxation. Source: the Alexandria database, functional PBE-GGA.

abc: 7.1196 8.2796 9.2213
angles: 116.68 104.35 90.00
Sites, in units of the cell vectors:
Nd1 0.6046 0.1354 0.7926
Nd2 0.3954 0.8646 0.2074
Nd3 0.6046 0.6573 0.7926
Nd4 0.0991 0.9018 0.8036
Nd5 0.9009 0.0982 0.1964
Nd6 0.1082 0.4072 0.8145
Nd7 0.3954 0.3427 0.2074
Nd8 0.8918 0.5928 0.1855
Ir1 0.5000 0.0000 0.0000
Ir2 0.0000 0.2517 0.0000
Ir3 0.0000 0.7483 0.0000
Bi1 0.6658 0.7423 0.4845
Bi2 0.3342 0.2577 0.5155

Volume (Å³ per cell): 467
ΔH_f (0 K) (eV per atom): -0.56